# 1
Here is crystalline LuCdNiHg at its relaxed geometry from Alexandria via LeMat-Bulk. Energies are from PBE-GGA.

Unit cell a=6.802 b=6.802 c=6.802 alpha=90.00 beta=90.00 gamma=90.00
Space group F-43m (No. 216)
Inequivalent atoms, fractional coordinates:
Lu: 0.000 0.000 0.000 (multiplicity 4)
Cd: 0.000 0.000 0.500 (multiplicity 4)
Ni: 0.250 0.250 0.750 (multiplicity 4)
Hg: 0.250 0.250 0.250 (multiplicity 4)

* E_form: -0.2022 eV per atom


# 2
Here is crystalline LuCdHgPb at its relaxed geometry from Alexandria via LeMat-Bulk. Energies are from PBE-GGA.

Unit cell a=7.406 b=7.406 c=7.406 alpha=90.00 beta=90.00 gamma=90.00
Space group F-43m (No. 216)
Inequivalent atoms, fractional coordinates:
Lu: 0.000 0.000 0.000 (multiplicity 4)
Cd: 0.000 0.000 0.500 (multiplicity 4)
Hg: 0.250 0.250 0.250 (multiplicity 4)
Pb: 0.250 0.250 0.750 (multiplicity 4)

* E_form: -0.1400 eV per atom


# 3
Here is crystalline LuCdHgPd at its relaxed geometry from Alexandria via LeMat-Bulk. Energies are from PBE-GGA.

Unit cell a=6.909 b=6.909 c=6.909 alpha=90.00 beta=90.00 gamma=90.00
Space group F-43m (No. 216)
Inequivalent atoms, fractional coordinates:
Lu: 0.000 0.000 0.000 (multiplicity 4)
Cd: 0.000 0.000 0.500 (multiplicity 4)
Hg: 0.250 0.250 0.750 (multiplicity 4)
Pd: 0.250 0.250 0.250 (multiplicity 4)

* E_form: -0.4971 eV per atom


# 4
Here is crystalline PrLuCdHg at its relaxed geometry from Alexandria via LeMat-Bulk. Energies are from PBE-GGA.

Unit cell a=7.551 b=7.551 c=7.551 alpha=90.00 beta=90.00 gamma=90.00
Space group F-43m (No. 216)
Inequivalent atoms, fractional coordinates:
Pr: 0.000 0.000 0.000 (multiplicity 4)
Lu: 0.000 0.000 0.500 (multiplicity 4)
Cd: 0.250 0.250 0.250 (multiplicity 4)
Hg: 0.250 0.250 0.750 (multiplicity 4)

* E_form: -0.3661 eV per atom


# 5
Here is crystalline LuCdHgPt at its relaxed geometry from Alexandria via LeMat-Bulk. Energies are from PBE-GGA.

Unit cell a=6.903 b=6.903 c=6.903 alpha=90.00 beta=90.00 gamma=90.00
Space group F-43m (No. 216)
Inequivalent atoms, fractional coordinates:
Lu: 0.000 0.000 0.000 (multiplicity 4)
Cd: 0.000 0.000 0.500 (multiplicity 4)
Hg: 0.250 0.250 0.250 (multiplicity 4)
Pt: 0.250 0.250 0.750 (multiplicity 4)

* E_form: -0.5761 eV per atom


# 6
Here is crystalline LuCdHgRh at its relaxed geometry from Alexandria via LeMat-Bulk. Energies are from PBE-GGA.

Unit cell a=6.847 b=6.847 c=6.847 alpha=90.00 beta=90.00 gamma=90.00
Space group F-43m (No. 216)
Inequivalent atoms, fractional coordinates:
Lu: 0.000 0.000 0.000 (multiplicity 4)
Cd: 0.000 0.000 0.500 (multiplicity 4)
Hg: 0.250 0.250 0.750 (multiplicity 4)
Rh: 0.250 0.250 0.250 (multiplicity 4)

* E_form: -0.3696 eV per atom


# 7
Here is crystalline LuScCdHg at its relaxed geometry from Alexandria via LeMat-Bulk. Energies are from PBE-GGA.

Unit cell a=7.187 b=7.187 c=7.187 alpha=90.00 beta=90.00 gamma=90.00
Space group F-43m (No. 216)
Inequivalent atoms, fractional coordinates:
Lu: 0.000 0.000 0.000 (multiplicity 4)
Sc: 0.000 0.000 0.500 (multiplicity 4)
Cd: 0.250 0.250 0.250 (multiplicity 4)
Hg: 0.250 0.250 0.750 (multiplicity 4)

* E_form: -0.3634 eV per atom


# 8
Here is crystalline TbLuCdHg at its relaxed geometry from Alexandria via LeMat-Bulk. Energies are from PBE-GGA.

Unit cell a=7.405 b=7.405 c=7.405 alpha=90.00 beta=90.00 gamma=90.00
Space group F-43m (No. 216)
Inequivalent atoms, fractional coordinates:
Tb: 0.000 0.000 0.000 (multiplicity 4)
Lu: 0.000 0.000 0.500 (multiplicity 4)
Cd: 0.250 0.250 0.250 (multiplicity 4)
Hg: 0.250 0.250 0.750 (multiplicity 4)

* E_form: -0.3883 eV per atom


# 9
Here is crystalline LuThCdHg at its relaxed geometry from Alexandria via LeMat-Bulk. Energies are from PBE-GGA.

Unit cell a=7.535 b=7.535 c=7.535 alpha=90.00 beta=90.00 gamma=90.00
Space group F-43m (No. 216)
Inequivalent atoms, fractional coordinates:
Lu: 0.000 0.000 0.000 (multiplicity 4)
Th: 0.000 0.000 0.500 (multiplicity 4)
Cd: 0.250 0.250 0.250 (multiplicity 4)
Hg: 0.250 0.250 0.750 (multiplicity 4)

* E_form: -0.2175 eV per atom


# 10
Here is crystalline LuTlCdHg at its relaxed geometry from Alexandria via LeMat-Bulk. Energies are from PBE-GGA.

Unit cell a=7.279 b=7.279 c=7.279 alpha=90.00 beta=90.00 gamma=90.00
Space group F-43m (No. 216)
Inequivalent atoms, fractional coordinates:
Lu: 0.000 0.000 0.000 (multiplicity 4)
Tl: 0.250 0.250 0.750 (multiplicity 4)
Cd: 0.000 0.000 0.500 (multiplicity 4)
Hg: 0.250 0.250 0.250 (multiplicity 4)

* E_form: -0.2067 eV per atom


# 11
Here is crystalline TmLuCdHg at its relaxed geometry from Alexandria via LeMat-Bulk. Energies are from PBE-GGA.

Unit cell a=7.339 b=7.339 c=7.339 alpha=90.00 beta=90.00 gamma=90.00
Space group F-43m (No. 216)
Inequivalent atoms, fractional coordinates:
Tm: 0.000 0.000 0.000 (multiplicity 4)
Lu: 0.000 0.000 0.500 (multiplicity 4)
Cd: 0.250 0.250 0.750 (multiplicity 4)
Hg: 0.250 0.250 0.250 (multiplicity 4)

* E_form: -0.3853 eV per atom


# 12
Here is crystalline YLuCdHg at its relaxed geometry from Alexandria via LeMat-Bulk. Energies are from PBE-GGA.

Unit cell a=7.396 b=7.396 c=7.396 alpha=90.00 beta=90.00 gamma=90.00
Space group F-43m (No. 216)
Inequivalent atoms, fractional coordinates:
Y: 0.000 0.000 0.000 (multiplicity 4)
Lu: 0.000 0.000 0.500 (multiplicity 4)
Cd: 0.250 0.250 0.750 (multiplicity 4)
Hg: 0.250 0.250 0.250 (multiplicity 4)

* E_form: -0.4032 eV per atom


# 13
Here is crystalline MgCd2Hg at its relaxed geometry from Alexandria via LeMat-Bulk. Energies are from PBE-GGA.

Unit cell a=3.402 b=5.335 c=10.034 alpha=90.00 beta=90.00 gamma=90.00
Space group Imm2 (No. 44)
Inequivalent atoms, fractional coordinates:
Mg: 0.000 0.000 0.000 (multiplicity 2)
Cd: 0.000 0.000 0.507 (multiplicity 2)
Cd: 0.000 0.500 0.751 (multiplicity 2)
Hg: 0.000 0.500 0.262 (multiplicity 2)

* E_form: -0.0325 eV per atom


# 14
Here is crystalline MgCdHg14 at its relaxed geometry from Alexandria via LeMat-Bulk. Energies are from PBE-GGA.

Unit cell a=8.785 b=6.344 c=15.476 alpha=90.00 beta=90.00 gamma=90.00
Space group Amm2 (No. 38)
Inequivalent atoms, fractional coordinates:
Mg: 0.000 0.000 0.000 (multiplicity 2)
Cd: 0.000 0.000 0.564 (multiplicity 2)
Hg: 0.000 0.247 0.321 (multiplicity 4)
Hg: 0.184 0.000 0.170 (multiplicity 4)
Hg: 0.242 0.000 0.705 (multiplicity 4)
Hg: 0.266 0.246 0.456 (multiplicity 8)
Hg: 0.500 0.000 0.088 (multiplicity 2)
Hg: 0.500 0.000 0.572 (multiplicity 2)
Hg: 0.500 0.242 0.304 (multiplicity 4)

* E_form: 0.0032 eV per atom


# 15
Here is crystalline Mg2CdHg at its relaxed geometry from Alexandria via LeMat-Bulk. Energies are from PBE-GGA.

Unit cell a=3.299 b=5.014 c=5.178 alpha=90.00 beta=90.00 gamma=90.00
Space group Pmm2 (No. 25)
Inequivalent atoms, fractional coordinates:
Mg: 0.000 0.000 0.000 (multiplicity 1)
Mg: 0.000 0.500 0.405 (multiplicity 1)
Cd: 0.500 0.500 0.903 (multiplicity 1)
Hg: 0.500 0.000 0.498 (multiplicity 1)

* E_form: -0.1601 eV per atom


# 16
Here is crystalline Mg12Cd5Hg2 at its relaxed geometry from Alexandria via LeMat-Bulk. Energies are from PBE-GGA.

Unit cell a=21.335 b=8.951 c=4.541 alpha=90.00 beta=101.68 gamma=90.00
Space group C2/m (No. 12)
Inequivalent atoms, fractional coordinates:
Mg: 0.087 0.000 0.087 (multiplicity 4)
Mg: 0.093 0.247 0.594 (multiplicity 8)
Mg: 0.097 0.500 0.096 (multiplicity 4)
Mg: 0.200 0.249 0.200 (multiplicity 8)
Cd: 0.000 0.500 0.500 (multiplicity 2)
Cd: 0.192 0.000 0.689 (multiplicity 4)
Cd: 0.198 0.500 0.700 (multiplicity 4)
Hg: 0.000 0.248 0.000 (multiplicity 4)

* E_form: -0.0881 eV per atom


# 17
Here is crystalline Mg2CdHg at its relaxed geometry from Alexandria via LeMat-Bulk. Energies are from PBE-GGA.

Unit cell a=6.636 b=7.861 c=3.295 alpha=90.00 beta=90.00 gamma=90.00
Space group Cmmm (No. 65)
Inequivalent atoms, fractional coordinates:
Mg: 0.250 0.250 0.000 (multiplicity 4)
Cd: 0.000 0.000 0.500 (multiplicity 2)
Hg: 0.000 0.500 0.500 (multiplicity 2)

* E_form: -0.1555 eV per atom


# 18
Here is crystalline Mg2Cd3Hg4 at its relaxed geometry from Alexandria via LeMat-Bulk. Energies are from PBE-GGA.

Unit cell a=12.809 b=4.684 c=9.132 alpha=90.00 beta=131.14 gamma=90.00
Space group C2/m (No. 12)
Inequivalent atoms, fractional coordinates:
Mg: 0.148 0.000 0.315 (multiplicity 4)
Cd: 0.000 0.500 0.000 (multiplicity 2)
Cd: 0.163 0.000 0.677 (multiplicity 4)
Hg: 0.047 0.500 0.380 (multiplicity 4)
Hg: 0.172 0.000 0.018 (multiplicity 4)

* E_form: -0.0679 eV per atom


# 19
Here is crystalline Mg4Cd15Hg at its relaxed geometry from Alexandria via LeMat-Bulk. Energies are from PBE-GGA.

Unit cell a=4.445 b=4.445 c=22.447 alpha=90.00 beta=90.00 gamma=90.00
Space group P4/mmm (No. 123)
Inequivalent atoms, fractional coordinates:
Mg: 0.000 0.000 0.099 (multiplicity 2)
Mg: 0.000 0.000 0.295 (multiplicity 2)
Cd: 0.000 0.500 0.000 (multiplicity 2)
Cd: 0.000 0.500 0.198 (multiplicity 4)
Cd: 0.000 0.500 0.396 (multiplicity 4)
Cd: 0.500 0.500 0.099 (multiplicity 2)
Cd: 0.500 0.500 0.296 (multiplicity 2)
Cd: 0.500 0.500 0.500 (multiplicity 1)
Hg: 0.000 0.000 0.500 (multiplicity 1)

* E_form: -0.0493 eV per atom


# 20
Here is crystalline MgCd4Hg9 at its relaxed geometry from Alexandria via LeMat-Bulk. Energies are from PBE-GGA.

Unit cell a=9.206 b=9.207 c=9.848 alpha=90.01 beta=90.01 gamma=119.93
Space group P-1 (No. 2)
Inequivalent atoms, fractional coordinates:
Mg: 0.167 0.333 0.250 (multiplicity 2)
Cd: 0.268 0.884 0.250 (multiplicity 2)
Cd: 0.382 0.768 0.750 (multiplicity 2)
Cd: 0.384 0.117 0.750 (multiplicity 2)
Cd: 0.500 0.000 0.000 (multiplicity 1)
Cd: 0.500 0.000 0.500 (multiplicity 1)
Hg: 0.036 0.072 0.751 (multiplicity 2)
Hg: 0.036 0.464 0.750 (multiplicity 2)
Hg: 0.083 0.791 0.535 (multiplicity 2)
Hg: 0.083 0.792 0.965 (multiplicity 2)
Hg: 0.291 0.208 0.466 (multiplicity 2)
Hg: 0.291 0.583 0.035 (multiplicity 2)
Hg: 0.291 0.583 0.465 (multiplicity 2)
Hg: 0.292 0.209 0.034 (multiplicity 2)
Hg: 0.428 0.465 0.749 (multiplicity 2)

* E_form: -0.0035 eV per atom


Number 1: spin magnetization 0.0 μB/f.u., theoretical density 11.5 g/cm3, raw total energy -49.31 eV for the cell shown. Number 2: spin magnetization 0.0 μB/f.u., theoretical density 11.4 g/cm3, raw total energy -40.02 eV for the cell shown. Number 3: spin magnetization 0.0 μB/f.u., theoretical density 12.0 g/cm3, raw total energy -51.68 eV for the cell shown. Number 4: spin magnetization 0.3 μB/f.u., theoretical density 9.7 g/cm3, raw total energy -47.93 eV for the cell shown. Number 5: spin magnetization 0.0 μB/f.u., theoretical density 13.8 g/cm3, raw total energy -56.33 eV for the cell shown. Number 6: spin magnetization 0.0 μB/f.u., theoretical density 12.2 g/cm3, raw total energy -58.27 eV for the cell shown. Number 7: spin magnetization 0.0 μB/f.u., theoretical density 9.5 g/cm3, raw total energy -54.09 eV for the cell shown. Number 8: spin magnetization 0.0 μB/f.u., theoretical density 10.6 g/cm3, raw total energy -47.69 eV for the cell shown. Number 9: spin magnetization 0.4 μB/f.u., theoretical density 11.2 g/cm3, raw total energy -56.11 eV for the cell shown. Number 10: spin magnetization 0.0 μB/f.u., theoretical density 11.9 g/cm3, raw total energy -35.72 eV for the cell shown. Number 11: spin magnetization 0.0 μB/f.u., theoretical density 11.0 g/cm3, raw total energy -47.00 eV for the cell shown. Number 12: spin magnetization 0.0 μB/f.u., theoretical density 9.5 g/cm3, raw total energy -55.26 eV for the cell shown. Number 13: spin magnetization 0.0 μB/f.u., theoretical density 8.2 g/cm3, raw total energy -7.71 eV for the cell shown. Number 14: spin magnetization 0.0 μB/f.u., theoretical density 11.3 g/cm3, raw total energy -13.37 eV for the cell shown. Number 15: spin magnetization 0.0 μB/f.u., theoretical density 7.0 g/cm3, raw total energy -5.05 eV for the cell shown. Number 16: spin magnetization 0.0 μB/f.u., theoretical density 4.9 g/cm3, raw total energy -51.98 eV for the cell shown. Number 17: spin magnetization 0.0 μB/f.u., theoretical density 7.0 g/cm3, raw total energy -10.06 eV for the cell shown. Number 18: spin magnetization 0.0 μB/f.u., theoretical density 9.6 g/cm3, raw total energy -15.51 eV for the cell shown. Number 19: spin magnetization 0.0 μB/f.u., theoretical density 7.4 g/cm3, raw total energy -21.39 eV for the cell shown. Number 20: spin magnetization 0.0 μB/f.u., theoretical density 10.5 g/cm3, raw total energy -16.04 eV for the cell shown.